Entry 1:
First-principles (PBE-GGA) data for Ce2NdHo3Bi6 after structural relaxation, as listed in the Alexandria database.

Unit cell a=4.5361 b=9.0612 c=10.1250 alpha=102.85 beta=102.94 gamma=90.00
Last column: nearest neighbours and their distance in Å.
Fractional positions:
Ce  0.8335  0.6676  0.6671  6 Bi 3.23-3.24
Ce  0.1665  0.3324  0.3329  6 Bi 3.23-3.24
Nd  0.5000  0.0000  0.0000  6 Bi 3.25
Ho  0.5000  0.5000  0.0000  6 Bi 3.16-3.17
Ho  0.8341  0.1665  0.6682  6 Bi 3.16-3.18
Ho  0.1659  0.8335  0.3318  6 Bi 3.16-3.18
Bi  0.3310  0.9208  0.6619  3 Ho 3.17, 2 Ce 3.23, 1 Nd 3.25
Bi  0.6650  0.5875  0.3300  3 Ho 3.17-3.18, 3 Ce 3.24
Bi  0.6690  0.0792  0.3381  3 Ho 3.17, 2 Ce 3.23, 1 Nd 3.25
Bi  0.9986  0.2560  0.9971  3 Ho 3.16, 1 Ce 3.23, 2 Nd 3.25
Bi  0.0014  0.7440  0.0029  3 Ho 3.16, 1 Ce 3.23, 2 Nd 3.25
Bi  0.3350  0.4125  0.6700  3 Ho 3.17-3.18, 3 Ce 3.24

Values from the calculation:
* formation energy: -0.84 eV per atom


Entry 2:
First-principles (PBE-GGA) data for LiTb5Rh6 after structural relaxation, as listed in the Alexandria database.

Unit cell a=4.7344 b=8.2524 c=8.2524 alpha=119.17 beta=106.67 gamma=106.67
Last column: nearest neighbours and their distance in Å.
Fractional positions:
Rh  0.2530  0.0864  0.4195  7 Tb 2.87-3.12, 1 Li 2.94
Rh  0.7470  0.5805  0.9136  7 Tb 2.87-3.12, 1 Li 2.94
Rh  0.7643  0.2643  0.2643  6 Tb 2.80-2.95, 2 Li 2.99
Rh  0.2357  0.7357  0.7357  6 Tb 2.80-2.95, 2 Li 2.99
Rh  0.2530  0.4195  0.0864  7 Tb 2.87-3.12, 1 Li 2.94
Rh  0.7470  0.9136  0.5805  7 Tb 2.87-3.12, 1 Li 2.94
Tb  0.5000  0.1498  0.8502  8 Rh 2.80-3.12
Tb  0.0000  0.3269  0.6731  8 Rh 2.87-2.95
Tb  0.5000  0.5000  0.5000  8 Rh 2.87-2.92
Tb  0.0000  0.6731  0.3269  8 Rh 2.87-2.95
Tb  0.5000  0.8502  0.1498  8 Rh 2.80-3.12
Li  0.0000  0.0000  0.0000  8 Rh 2.94-2.99, 4 Tb 3.19

Values from the calculation:
* formation energy: -0.75 eV per atom


Entry 3:
First-principles (PBE-GGA) data for Ba2SF after structural relaxation, as listed in the Alexandria database.

Unit cell a=4.3326 b=4.3326 c=7.3264 alpha=90.09 beta=107.14 gamma=119.94
Last column: nearest neighbours and their distance in Å.
Fractional positions:
Ba  0.4921  0.2461  0.7382  3 F 2.99, 3 S 3.08-3.09
Ba  0.5079  0.7539  0.2618  3 F 2.99, 3 S 3.08-3.09
S  0.0000  0.0000  0.0000  6 Ba 3.08-3.09
F  0.0000  0.4999  0.4999  6 Ba 2.99

Values from the calculation:
* calculated total energy: -19.08 eV for the cell shown


Entry 4:
First-principles (PBE-GGA) data for LaHo12Tm2 after structural relaxation, as listed in the Alexandria database.

Unit cell a=6.3507 b=6.3507 c=25.0539 alpha=90.00 beta=90.00 gamma=90.00
Last column: nearest neighbours and their distance in Å.
Fractional positions:
La  0.5000  0.0000  0.0000  4 Ho 3.43
La  0.0000  0.5000  0.0000  4 Ho 3.43
Ho  0.5000  0.5000  0.7813  5 Ho 3.07-3.39
Ho  0.0000  0.0000  0.7813  5 Ho 3.07-3.39
Ho  0.6822  0.8178  0.8798  7 Ho 3.27-3.39, 1 La 3.43
Ho  0.1822  0.6822  0.8798  7 Ho 3.27-3.39, 1 La 3.43
Ho  0.0000  0.0000  0.3412  5 Ho 3.07-3.41
Ho  0.3178  0.8178  0.1202  7 Ho 3.27-3.39, 1 La 3.43
Ho  0.8312  0.3312  0.5604  6 Ho 3.03-3.36
Ho  0.5000  0.5000  0.3412  5 Ho 3.07-3.41
Ho  0.3178  0.1822  0.8798  7 Ho 3.27-3.39, 1 La 3.43
Ho  0.8178  0.6822  0.1202  7 Ho 3.27-3.39, 1 La 3.43
Ho  0.3312  0.1688  0.5604  6 Ho 3.03-3.36
Ho  0.6688  0.1688  0.4396  6 Ho 3.03-3.36
Ho  0.0000  0.0000  0.6588  5 Ho 3.07-3.41
Ho  0.1688  0.3312  0.4396  6 Ho 3.03-3.36
Ho  0.1822  0.3178  0.1202  7 Ho 3.27-3.39, 1 La 3.43
Ho  0.8312  0.6688  0.4396  6 Ho 3.03-3.36
Ho  0.6688  0.8312  0.5604  6 Ho 3.03-3.36
Ho  0.0000  0.0000  0.2187  5 Ho 3.07-3.39
Ho  0.1688  0.6688  0.5604  6 Ho 3.03-3.36
Ho  0.5000  0.5000  0.6588  5 Ho 3.07-3.41
Ho  0.8178  0.3178  0.8798  7 Ho 3.27-3.39, 1 La 3.43
Ho  0.5000  0.5000  0.2187  5 Ho 3.07-3.39
Ho  0.3312  0.8312  0.4396  6 Ho 3.03-3.36
Ho  0.6822  0.1822  0.1202  7 Ho 3.27-3.39, 1 La 3.43
Tm  0.5000  0.0000  0.2777  8 Ho 3.50-3.55
Tm  0.0000  0.5000  0.2777  8 Ho 3.50-3.55
Tm  0.0000  0.5000  0.7223  8 Ho 3.50-3.55
Tm  0.5000  0.0000  0.7223  8 Ho 3.50-3.55

Values from the calculation:
* formation energy: 0.32 eV per atom